DFT (PBE) results for a geometry-optimized KFePt2 structure.

Computed properties:
polymorph energy (0 for the lowest one)	0.199	eV per atom
N(E_F)	0.84	states/eV/atom
formation energy from the elements	0.202	eV per atom
total magnetic moment	3.68	μB/cell

Cell lengths 2.768, 4.017, 7.371 Å; angles 90.00, 90.00, 90.00 degrees
Fractional coordinates of all 4 atoms:
Pt 0.500 0.500 0.275
K 0.500 0.500 0.760
Pt 0.000 0.000 0.065
Fe 0.000 0.000 0.400